(1)
Entry from the Alexandria database: an optimized crystal structure of Rb2ZrCu2Se4 (PBE).

Properties
For the volume, the calculation gives 25.2 Å³/atom. The total energy comes out at -0.1688 Ha/atom. Its symmetry is No. 12. Its formation energy from raw total energies is -8.726 eV per formula unit.

abc: 4.0080 8.1075 7.6228
angles: 107.45 105.24 90.00
Closest atoms and distances in Å follow each position.
Element x y z (fractional)
Se 0.4823 0.2222 0.9647  1 Cu 2.46
Se 0.1934 0.1717 0.3868  3 Cu 2.47-2.58, 1 Zr 2.75
Se 0.5177 0.7778 0.0353  1 Cu 2.46
Se 0.8066 0.8283 0.6132  3 Cu 2.47-2.58, 1 Zr 2.75
Rb 0.1362 0.5647 0.2723  7 Se 3.40-3.60, 1 Cu 3.80
Rb 0.8638 0.4353 0.7277  7 Se 3.40-3.60, 1 Cu 3.80
Zr 0.0000 0.0000 0.0000  6 Se 2.75-2.76
Cu 0.3205 0.0133 0.6410  4 Se 2.46-2.58
Cu 0.6795 0.9867 0.3590  4 Se 2.46-2.58

---

(2)
Entry from the Alexandria database: an optimized crystal structure of RbZrCu3Se4 (PBE).

Properties
For the volume, the calculation gives 28.3 Å³/atom. The total energy comes out at -0.1682 Ha/atom. Its symmetry is No. 215. Its formation energy from raw total energies is -5.444 eV per formula unit.

abc: 6.3407 6.3407 6.3407
angles: 90.00 90.00 90.00
Closest atoms and distances in Å follow each position.
Element x y z (fractional)
Se 0.7735 0.7735 0.2265  1 Zr 2.49, 3 Cu 2.67
Se 0.2265 0.7735 0.7735  1 Zr 2.49, 3 Cu 2.67
Se 0.2265 0.2265 0.2265  1 Zr 2.49, 3 Cu 2.67
Se 0.7735 0.2265 0.7735  1 Zr 2.49, 3 Cu 2.67
Cu 0.5000 0.0000 0.0000  4 Se 2.67
Cu 0.0000 0.5000 0.0000  4 Se 2.67
Cu 0.0000 0.0000 0.5000  4 Se 2.67
Zr 0.0000 0.0000 0.0000  4 Se 2.49
Rb 0.5000 0.5000 0.5000  4 Se 3.00

---

(3)
Entry from the Alexandria database: an optimized crystal structure of Rb2Zr2CuSe6 (PBE).

Properties
For the volume, the calculation gives 29.6 Å³/atom. The total energy comes out at -0.1859 Ha/atom. Its symmetry is No. 12. Its formation energy from raw total energies is -11.621 eV per formula unit.

abc: 6.8053 6.8053 8.5262
angles: 97.47 97.47 121.28
Closest atoms and distances in Å follow each position.
Element x y z (fractional)
Se 0.9328 0.5971 0.3120  2 Zr 2.68-2.72, 1 Cu 2.77
Se 0.5971 0.9328 0.3120  2 Zr 2.68-2.72, 1 Cu 2.77
Se 0.0672 0.4029 0.6880  2 Zr 2.68-2.72, 1 Cu 2.77
Se 0.7433 0.7433 0.6723  1 Cu 2.54, 2 Zr 2.75
Se 0.4029 0.0672 0.6880  2 Zr 2.68-2.72, 1 Cu 2.77
Se 0.2567 0.2567 0.3277  1 Cu 2.54, 2 Zr 2.75
Zr 0.6697 0.3303 0.5000  6 Se 2.68-2.75
Zr 0.3303 0.6697 0.5000  6 Se 2.68-2.75
Rb 0.1620 0.8380 0.0000  6 Se 3.43-3.45
Rb 0.8380 0.1620 0.0000  6 Se 3.43-3.45
Cu 0.0000 0.0000 0.5000  6 Se 2.54-2.77

---

(4)
Entry from the Alexandria database: an optimized crystal structure of Rb3Zr3CuSe8 (PBE).

Properties
For the volume, the calculation gives 29.2 Å³/atom. The total energy comes out at -0.1905 Ha/atom. Its symmetry is No. 166. Its formation energy from raw total energies is -17.224 eV per formula unit.

abc: 7.8942 7.8938 9.2998
angles: 115.11 90.00 120.00
Closest atoms and distances in Å follow each position.
Element x y z (fractional)
Se 0.7711 0.0468 0.3176  2 Zr 2.71, 1 Cu 2.73
Se 0.7243 0.9532 0.6824  2 Zr 2.71, 1 Cu 2.73
Se 0.7311 0.4622 0.6931  3 Zr 2.76-2.77
Se 0.2289 0.9532 0.6824  2 Zr 2.71, 1 Cu 2.73
Se 0.2285 0.4570 0.6813  2 Zr 2.70, 1 Cu 2.73
Se 0.2757 0.0468 0.3176  2 Zr 2.71, 1 Cu 2.73
Se 0.7715 0.5430 0.3187  2 Zr 2.70, 1 Cu 2.73
Se 0.2689 0.5377 0.3069  3 Zr 2.76-2.77
Rb 0.5000 0.5000 0.0000  6 Se 3.37-3.45
Rb 0.0000 0.5000 0.0000  6 Se 3.37-3.45
Rb 0.0000 0.0000 0.0000  6 Se 3.37-3.44
Cu 0.0000 0.0000 0.5000  6 Se 2.73
Zr 0.5000 0.0000 0.5000  6 Se 2.71-2.77
Zr 0.0000 0.5000 0.5000  6 Se 2.70-2.76
Zr 0.5000 0.5000 0.5000  6 Se 2.70-2.76

---

(5)
Entry from the Alexandria database: an optimized crystal structure of Rb2CuSi2 (PBE).

Properties
For the volume, the calculation gives 34.0 Å³/atom. The total energy comes out at -0.1000 Ha/atom. Its symmetry is No. 127. For the distance to the lowest polymorph of the same formula, the calculation gives 310 meV/atom. Its formation energy from raw total energies is 3.275 eV per formula unit.

abc: 10.3506 10.3506 3.1691
angles: 90.00 90.00 90.00
Closest atoms and distances in Å follow each position.
Element x y z (fractional)
Rb 0.7870 0.7130 0.0000  2 Rb 3.17, 2 Si 3.48
Rb 0.2130 0.2870 0.0000  2 Rb 3.17, 2 Si 3.48
Rb 0.7130 0.2130 0.0000  2 Rb 3.17, 2 Si 3.48
Rb 0.2870 0.7870 0.0000  2 Rb 3.17, 2 Si 3.48
Si 0.0757 0.5757 0.5000  1 Si 2.22
Si 0.9243 0.4243 0.5000  1 Si 2.22
Si 0.4243 0.0757 0.5000  1 Si 2.22
Si 0.5757 0.9243 0.5000  1 Si 2.22
Cu 0.5000 0.5000 0.0000  2 Cu 3.17
Cu 0.0000 0.0000 0.0000  2 Cu 3.17

---

(6)
Entry from the Alexandria database: an optimized crystal structure of Rb2CuSi2 (PBE).

Properties
For the volume, the calculation gives 24.6 Å³/atom. The total energy comes out at -0.1114 Ha/atom. Its symmetry is No. 127. For the distance to the lowest polymorph of the same formula, the calculation gives 0 meV/atom. Its formation energy from raw total energies is 1.727 eV per formula unit.

abc: 6.4291 6.4291 5.9629
angles: 90.00 90.00 90.00
Closest atoms and distances in Å follow each position.
Element x y z (fractional)
Si 0.3664 0.8664 0.0000  1 Si 2.43, 2 Cu 2.51
Si 0.6336 0.1336 0.0000  1 Si 2.43, 2 Cu 2.51
Si 0.1336 0.3664 0.0000  1 Si 2.43, 2 Cu 2.51
Si 0.8664 0.6336 0.0000  1 Si 2.43, 2 Cu 2.51
Rb 0.8186 0.3186 0.5000  5 Rb 3.30-3.33, 6 Si 3.42-3.62
Rb 0.6814 0.8186 0.5000  5 Rb 3.30-3.33, 6 Si 3.42-3.62
Rb 0.1814 0.6814 0.5000  5 Rb 3.30-3.33, 6 Si 3.42-3.62
Rb 0.3186 0.1814 0.5000  5 Rb 3.30-3.33, 6 Si 3.42-3.62
Cu 0.0000 0.0000 0.0000  4 Si 2.51
Cu 0.5000 0.5000 0.0000  4 Si 2.51

---

For the records above, the corresponding M_tot values read 0.000, 0.000, 0.801, 0.000, 0.000, 0.000 μB per formula unit.